Entry from Alexandria: a relaxed SmBi3Te6 crystal (PBE).

The structure in POSCAR format:
```
SmBi3Te6
1.0
13.167 0.000 0.000
0.000 4.403 0.000
-4.511 0.000 12.477
Sm Bi Te
2 6 12
direct
0.194 0.250 0.042
0.806 0.750 0.958
0.036 0.750 0.298
0.340 0.250 0.441
0.399 0.750 0.850
0.601 0.250 0.150
0.660 0.750 0.559
0.964 0.250 0.702
0.029 0.750 0.899
0.118 0.250 0.469
0.234 0.250 0.808
0.238 0.750 0.241
0.393 0.750 0.075
0.429 0.750 0.606
0.571 0.250 0.394
0.607 0.250 0.925
0.762 0.250 0.759
0.766 0.750 0.192
0.882 0.750 0.531
0.971 0.250 0.101
```

Results
- Total moment: 0.0 μB per formula unit
- Formation energy from raw total energies: -512 meV/atom